Compound: GdYBi4Au2
Source: the Open Quantum Materials Database
Functional: GGA-PBE
Structure: relaxed

Total magnetic moment   0.000 μB per atom
Calculated total energy   -4.761 eV/atom
Calculated density   11.56 g cm⁻³

Cell lengths 4.6156, 4.6156, 9.9557 Å; angles 90.00, 90.00, 90.00 degrees
Element x y z (fractional)
Au 0.5000 0.0000 0.9992
Au 0.0000 0.5000 0.9992
Bi 0.5000 0.5000 0.1973
Bi 0.5000 0.0000 0.5007
Bi 0.0000 0.5000 0.5007
Bi 0.0000 0.0000 0.8024
Gd 0.0000 0.0000 0.2334
Y 0.5000 0.5000 0.7670

=====

Compound: Ge2BiAu
Source: the Open Quantum Materials Database
Functional: GGA-PBE
Structure: relaxed

Calculated total energy   -3.869 eV/atom
Calculated density   10.31 g cm⁻³

Cell lengths 5.0074, 5.0074, 5.0074 Å; angles 60.00, 60.00, 60.00 degrees
Element x y z (fractional)
Au 0.2500 0.2500 0.2500
Bi 0.5000 0.5000 0.5000
Ge 0.0000 0.0000 0.0000
Ge 0.7500 0.7500 0.7500

=====

Compound: La2GeBiAu4
Source: the Open Quantum Materials Database
Functional: GGA-PBE
Structure: relaxed

Total magnetic moment   0.000 μB per atom
Calculated total energy   -4.621 eV/atom
Calculated density   11.41 g cm⁻³

Cell lengths 4.8108, 4.8108, 9.7847 Å; angles 90.00, 90.00, 120.00 degrees
Element x y z (fractional)
Au 0.6667 0.3333 0.1154
Au 0.6667 0.3333 0.4138
Au 0.3333 0.6667 0.5862
Au 0.3333 0.6667 0.8846
Bi 0.0000 0.0000 0.0000
Ge 0.0000 0.0000 0.5000
La 0.3333 0.6667 0.2576
La 0.6667 0.3333 0.7424

=====

Compound: Li4GeBiAu2
Source: the Open Quantum Materials Database
Functional: GGA-PBE
Structure: relaxed

Calculated total energy   -3.338 eV/atom
Calculated density   8.56 g cm⁻³

Cell lengths 4.5307, 4.5307, 6.6472 Å; angles 90.00, 90.00, 90.00 degrees
Element x y z (fractional)
Au 0.0000 0.5000 0.2904
Au 0.5000 0.0000 0.7096
Bi 0.5000 0.5000 0.0000
Ge 0.0000 0.0000 0.5000
Li 0.0000 0.0000 0.0000
Li 0.5000 0.0000 0.2768
Li 0.5000 0.5000 0.5000
Li 0.0000 0.5000 0.7232